#a
A plane-wave DFT calculation with PBE was carried out for a relaxed structure of ScNiPb2.

Properties
* calculated volume: 89.8 Å³ per cell
* theoretical density: 9.58 g/cm3

Lattice parameters (Å, degrees): 3.507 4.335 5.966 90.00 98.08 90.00
Space group P2/m (No. 10)
Unique sites:
Sc1 0.000 0.000 0.000 x1
Ni1 0.500 0.000 0.500 x1
Pb1 0.332 0.500 0.733 x2



#b
A plane-wave DFT calculation with PBE was carried out for a relaxed structure of ScNiPb2.

Properties
* calculated volume: 348.1 Å³ per cell
* theoretical density: 9.89 g/cm3

Lattice parameters (Å, degrees): 7.034 7.034 7.034 90.00 90.00 90.00
Space group Fm-3m (No. 225)
Unique sites:
Sc1 0.000 0.000 0.000 x4
Ni1 0.000 0.000 0.500 x4
Pb1 0.250 0.250 0.250 x8



#c
A plane-wave DFT calculation with PBE was carried out for a relaxed structure of ScNiPb2.

Properties
* calculated volume: 85.8 Å³ per cell
* theoretical density: 10.03 g/cm3

Lattice parameters (Å, degrees): 3.381 3.381 7.503 90.00 90.00 90.00
Space group P4/mmm (No. 123)
Unique sites:
Sc1 0.000 0.000 0.000 x1
Ni1 0.000 0.000 0.500 x1
Pb1 0.500 0.500 0.282 x2



#d
A plane-wave DFT calculation with PBE was carried out for a relaxed structure of ScNiPb2.

Properties
* calculated volume: 278.5 Å³ per cell
* theoretical density: 9.27 g/cm3

Lattice parameters (Å, degrees): 3.6985 3.6985 23.5121 90.00 90.00 120.00
Space group R-3m (No. 166, hexagonal axes)
Unique sites:
Sc1 0.0000 0.0000 0.0000 x3
Ni1 0.0000 0.0000 0.5000 x3
Pb1 0.0000 0.0000 0.2353 x6



It comes down to #a, which is 32 meV/atom more stable than the next structure.



#a
A plane-wave DFT calculation with PBE was carried out for a relaxed structure of ScNiPb2.

Properties
* calculated volume: 174.2 Å³ per cell
* theoretical density: 9.88 g/cm3

Lattice parameters (Å, degrees): 4.217 4.217 9.792 90.00 90.00 90.00
Space group I-4m2 (No. 119)
Unique sites:
Sc1 0.000 0.000 0.000 x2
Ni1 0.000 0.500 0.250 x2
Pb1 0.000 0.000 0.500 x2
Pb2 0.000 0.500 0.750 x2



#b
A plane-wave DFT calculation with PBE was carried out for a relaxed structure of ScNiPb2.

Properties
* calculated volume: 92.9 Å³ per cell
* theoretical density: 9.26 g/cm3

Lattice parameters (Å, degrees): 3.345 3.387 8.204 90.00 90.00 90.00
Space group Pmm2 (No. 25)
Unique sites:
Sc1 0.000 0.000 0.000 x1
Ni1 0.500 0.500 0.850 x1
Pb1 0.000 0.000 0.622 x1
Pb2 0.500 0.500 0.274 x1



It comes down to #b, which is 133 meV/atom more stable than the next structure.



#a
A plane-wave DFT calculation with PBE was carried out for a relaxed structure of ScNiPb2.

Properties
* calculated volume: 264.9 Å³ per cell
* theoretical density: 9.74 g/cm3

Lattice parameters (Å, degrees): 4.4259 4.4259 15.6214 90.00 90.00 120.00
Space group R-3m (No. 166, hexagonal axes)
Unique sites:
Sc1 0.0000 0.0000 0.0000 x3
Ni1 0.0000 0.0000 0.5000 x3
Pb1 0.0000 0.0000 0.2339 x6



#b
A plane-wave DFT calculation with PBE was carried out for a relaxed structure of ScNiPb2.

Properties
* calculated volume: 172.3 Å³ per cell
* theoretical density: 9.99 g/cm3

Lattice parameters (Å, degrees): 6.458 6.455 4.133 90.00 90.46 90.00
Space group C2/m (No. 12)
Unique sites:
Sc1 0.000 0.000 0.000 x2
Ni1 0.000 0.500 0.000 x2
Pb1 0.250 0.250 0.500 x4



#c
A plane-wave DFT calculation with PBE was carried out for a relaxed structure of ScNiPb2.

Properties
* calculated volume: 181.7 Å³ per cell
* theoretical density: 9.47 g/cm3

Lattice parameters (Å, degrees): 11.940 3.376 4.855 90.00 111.77 90.00
Space group Cm (No. 8)
Unique sites:
Sc1 0.000 0.000 0.000 x2
Ni1 0.181 0.500 0.152 x2
Pb1 0.192 0.000 0.678 x2
Pb2 0.406 0.000 0.409 x2



#d
A plane-wave DFT calculation with PBE was carried out for a relaxed structure of ScNiPb2.

Properties
* calculated volume: 367.2 Å³ per cell
* theoretical density: 9.37 g/cm3

Lattice parameters (Å, degrees): 7.161 7.161 7.161 90.00 90.00 90.00
Space group F-43m (No. 216)
Unique sites:
Sc1 0.000 0.000 0.000 x4
Ni1 0.250 0.250 0.250 x4
Pb1 0.000 0.000 0.500 x4
Pb2 0.250 0.250 0.750 x4



It comes down to #c, which is 17 meV/atom more stable than the next structure.



#a
A plane-wave DFT calculation with PBE was carried out for a relaxed structure of Sc2NiPb2.

Properties
* calculated volume: 223.9 Å³ per cell
* theoretical density: 8.35 g/cm3

Lattice parameters (Å, degrees): 7.000 7.000 4.568 90.00 90.00 90.00
Space group P4/mbm (No. 127)
Unique sites:
Sc1 0.163 0.337 0.000 x4
Ni1 0.000 0.000 0.500 x2
Pb1 0.154 0.654 0.500 x4



#b
A plane-wave DFT calculation with PBE was carried out for a relaxed structure of Sc2NiPb2.

Properties
* calculated volume: 232.7 Å³ per cell
* theoretical density: 8.04 g/cm3

Lattice parameters (Å, degrees): 6.901 6.901 4.886 90.00 90.00 90.00
Space group P4/mbm (No. 127)
Unique sites:
Sc1 0.163 0.337 0.000 x4
Ni1 0.000 0.000 0.000 x2
Pb1 0.164 0.664 0.500 x4



It comes down to #a, which is 84 meV/atom more stable than the next structure.



#a
A plane-wave DFT calculation with PBE was carried out for a relaxed structure of Sc2NiPb2.

Properties
* calculated volume: 243.0 Å³ per cell
* theoretical density: 7.70 g/cm3

Lattice parameters (Å, degrees): 3.928 3.928 15.750 90.00 90.00 90.00
Space group I4/mmm (No. 139)
Unique sites:
Sc1 0.000 0.500 0.250 x4
Ni1 0.000 0.000 0.000 x2
Pb1 0.000 0.000 0.408 x4



#b
A plane-wave DFT calculation with PBE was carried out for a relaxed structure of Sc2NiPb2.

Properties
* calculated volume: 262.0 Å³ per cell
* theoretical density: 7.14 g/cm3

Lattice parameters (Å, degrees): 4.111 4.111 15.502 90.00 90.00 90.00
Space group I4/mmm (No. 139)
Unique sites:
Sc1 0.000 0.000 0.094 x4
Ni1 0.000 0.000 0.500 x2
Pb1 0.000 0.500 0.250 x4



It comes down to #b, which is 100 meV/atom more stable than the next structure.



#a
A plane-wave DFT calculation with PBE was carried out for a relaxed structure of ScNi2Pb2.

Properties
* calculated volume: 205.0 Å³ per cell
* theoretical density: 9.34 g/cm3

Lattice parameters (Å, degrees): 4.149 4.149 11.909 90.00 90.00 90.00
Space group I4/mmm (No. 139)
Unique sites:
Sc1 0.000 0.000 0.000 x2
Ni1 0.000 0.500 0.250 x4
Pb1 0.000 0.000 0.377 x4



#b
A plane-wave DFT calculation with PBE was carried out for a relaxed structure of ScNi2Pb2.

Properties
* calculated volume: 193.4 Å³ per cell
* theoretical density: 9.90 g/cm3

Lattice parameters (Å, degrees): 6.835 6.835 4.141 90.00 90.00 90.00
Space group P4/mbm (No. 127)
Unique sites:
Sc1 0.000 0.000 0.000 x2
Ni1 0.125 0.375 0.000 x4
Pb1 0.179 0.679 0.500 x4



It comes down to #b, which is 164 meV/atom more stable than the next structure.



#a
A plane-wave DFT calculation with PBE was carried out for a relaxed structure of Ni2PbSe.

Properties
* calculated volume: 156.7 Å³ per cell
* theoretical density: 8.55 g/cm3

Lattice parameters (Å, degrees): 7.729 3.417 6.090 90.00 103.04 90.00
Space group Cm (No. 8)
Unique sites:
Ni1 0.000 0.000 0.000 x2
Ni2 0.232 0.500 0.157 x2
Pb1 0.490 0.000 0.414 x2
Se1 0.281 0.000 0.900 x2



#b
A plane-wave DFT calculation with PBE was carried out for a relaxed structure of Ni2PbSe.

Properties
* calculated volume: 143.6 Å³ per cell
* theoretical density: 9.34 g/cm3

Lattice parameters (Å, degrees): 3.424 3.429 12.229 90.00 90.00 90.00
Space group Imm2 (No. 44)
Unique sites:
Ni1 0.000 0.000 0.000 x2
Ni2 0.000 0.500 0.337 x2
Pb1 0.000 0.500 0.715 x2
Se1 0.000 0.000 0.474 x2



It comes down to #a, which is 72 meV/atom more stable than the next structure.



#a
A plane-wave DFT calculation with PBE was carried out for a relaxed structure of NiPbSe3.

Properties
* calculated volume: 112.3 Å³ per cell
* theoretical density: 7.43 g/cm3

Lattice parameters (Å, degrees): 4.825 4.825 4.825 90.00 90.00 90.00
Space group Pm-3m (No. 221)
Unique sites:
Ni1 0.000 0.000 0.000 x1
Pb1 0.500 0.500 0.500 x1
Se1 0.000 0.000 0.500 x3



#b
A plane-wave DFT calculation with PBE was carried out for a relaxed structure of NiPbSe3.

Properties
* calculated volume: 160.4 Å³ per cell
* theoretical density: 5.20 g/cm3

Lattice parameters (Å, degrees): 5.434 5.434 5.434 90.00 90.00 90.00
Space group Pm-3m (No. 221)
Unique sites:
Ni1 0.000 0.000 0.000 x1
Pb1 0.500 0.500 0.500 x1
Se1 0.000 0.500 0.500 x3



It comes down to #a, which is 1095 meV/atom more stable than the next structure.



#a
A plane-wave DFT calculation with PBE was carried out for a relaxed structure of Ni3PbSe.

Properties
* calculated volume: 88.5 Å³ per cell
* theoretical density: 8.67 g/cm3

Lattice parameters (Å, degrees): 4.457 4.457 4.457 90.00 90.00 90.00
Space group Pm-3m (No. 221)
Unique sites:
Ni1 0.000 0.000 0.500 x3
Pb1 0.500 0.500 0.500 x1
Se1 0.000 0.000 0.000 x1



#b
A plane-wave DFT calculation with PBE was carried out for a relaxed structure of Ni3PbSe.

Properties
* calculated volume: 108.8 Å³ per cell
* theoretical density: 7.06 g/cm3

Lattice parameters (Å, degrees): 4.774 4.774 4.774 90.00 90.00 90.00
Space group Pm-3m (No. 221)
Unique sites:
Ni1 0.000 0.000 0.500 x3
Pb1 0.000 0.000 0.000 x1
Se1 0.500 0.500 0.500 x1



It comes down to #a, which is 1037 meV/atom more stable than the next structure.



#a
A plane-wave DFT calculation with PBE was carried out for a relaxed structure of SiNi3Pb.

Properties
* calculated volume: 107.1 Å³ per cell
* theoretical density: 6.38 g/cm3

Lattice parameters (Å, degrees): 4.749 4.749 4.749 90.00 90.00 90.00
Space group Pm-3m (No. 221)
Unique sites:
Si1 0.000 0.000 0.000 x1
Ni1 0.000 0.500 0.500 x3
Pb1 0.500 0.500 0.500 x1



#b
A plane-wave DFT calculation with PBE was carried out for a relaxed structure of SiNi3Pb.

Properties
* calculated volume: 81.6 Å³ per cell
* theoretical density: 8.37 g/cm3

Lattice parameters (Å, degrees): 4.338 4.338 4.338 90.00 90.00 90.00
Space group Pm-3m (No. 221)
Unique sites:
Si1 0.000 0.000 0.000 x1
Ni1 0.000 0.000 0.500 x3
Pb1 0.500 0.500 0.500 x1



It comes down to #b, which is 1205 meV/atom more stable than the next structure.



#a
A plane-wave DFT calculation with PBE was carried out for a relaxed structure of SiNiPb3.

Properties
* calculated volume: 151.8 Å³ per cell
* theoretical density: 7.75 g/cm3

Lattice parameters (Å, degrees): 5.335 5.335 5.335 90.00 90.00 90.00
Space group Pm-3m (No. 221)
Unique sites:
Si1 0.000 0.000 0.000 x1
Ni1 0.500 0.500 0.500 x1
Pb1 0.000 0.000 0.500 x3



#b
A plane-wave DFT calculation with PBE was carried out for a relaxed structure of SiNiPb3.

Properties
* calculated volume: 134.0 Å³ per cell
* theoretical density: 8.78 g/cm3

Lattice parameters (Å, degrees): 5.118 5.118 5.118 90.00 90.00 90.00
Space group Pm-3m (No. 221)
Unique sites:
Si1 0.000 0.000 0.000 x1
Ni1 0.500 0.500 0.500 x1
Pb1 0.000 0.500 0.500 x3



It comes down to #b, which is 527 meV/atom more stable than the next structure.



#a
A plane-wave DFT calculation with PBE was carried out for a relaxed structure of NiSn3Pb.

Properties
* calculated volume: 130.8 Å³ per cell
* theoretical density: 7.90 g/cm3

Lattice parameters (Å, degrees): 5.076 5.076 5.076 90.00 90.00 90.00
Space group Pm-3m (No. 221)
Unique sites:
Ni1 0.000 0.000 0.000 x1
Sn1 0.000 0.000 0.500 x3
Pb1 0.500 0.500 0.500 x1



#b
A plane-wave DFT calculation with PBE was carried out for a relaxed structure of NiSn3Pb.

Properties
* calculated volume: 190.6 Å³ per cell
* theoretical density: 5.42 g/cm3

Lattice parameters (Å, degrees): 5.755 5.755 5.755 90.00 90.00 90.00
Space group Pm-3m (No. 221)
Unique sites:
Ni1 0.000 0.000 0.000 x1
Sn1 0.000 0.500 0.500 x3
Pb1 0.500 0.500 0.500 x1



It comes down to #a, which is 1244 meV/atom more stable than the next structure.